--- A ---
The following is a DFT calculation (PBE-GGA) of a relaxed structure of ScGe2Pd7.

Structure (extended XYZ):
```
10
Lattice="-2.025 2.025 10.081 2.025 -2.025 10.081 2.025 2.025 -10.081" Properties=species:S:1:pos:R:3 pbc="T T T"
Sc 0.000 0.000 0.000
Ge 0.000 0.000 6.594
Ge 0.000 0.000 13.567
Pd 2.025 0.000 2.017
Pd 2.025 0.000 5.040
Pd 2.025 0.000 8.064
Pd 0.000 0.000 10.081
Pd 0.000 2.025 2.017
Pd 0.000 2.025 5.040
Pd 0.000 2.025 8.064
```

The value obtained for the density of states at the Fermi level is 0.3957 states/eV per atom. As for the space-group type: I4/mmm (139).

***

--- B ---
The following is a DFT calculation (PBE-GGA) of a relaxed structure of ScGe2Pd7.

Structure (extended XYZ):
```
10
Lattice="3.673 -6.070 0.000 3.673 6.070 0.000 0.000 0.000 4.364" Properties=species:S:1:pos:R:3 pbc="T T T"
Sc 0.000 0.000 0.000
Ge 3.673 2.394 2.182
Ge 3.673 -2.394 2.182
Pd 1.365 1.430 2.182
Pd 3.673 3.386 0.000
Pd 1.365 -1.430 2.182
Pd 3.673 0.000 2.182
Pd 5.981 1.430 2.182
Pd 3.673 -3.386 0.000
Pd 5.981 -1.430 2.182
```

The value obtained for the density of states at the Fermi level is 0.4391 states/eV per atom. As for the space-group type: Cmmm (65).

***

Winner for stability: A

***

--- A ---
The following is a DFT calculation (PBE-GGA) of a relaxed structure of SiGe3Pd.

Structure (extended XYZ):
```
5
Lattice="4.699 0.000 0.000 0.000 4.699 0.000 0.000 0.000 4.699" Properties=species:S:1:pos:R:3 pbc="T T T"
Si 0.000 0.000 0.000
Ge 0.000 0.000 2.350
Ge 0.000 2.350 0.000
Ge 2.350 0.000 0.000
Pd 2.350 2.350 2.350
```

The value obtained for the density of states at the Fermi level is 0.4285 states/eV per atom. As for the space-group type: Pm-3m (221).

***

--- B ---
The following is a DFT calculation (PBE-GGA) of a relaxed structure of SiGe3Pd.

Structure (extended XYZ):
```
5
Lattice="4.827 0.000 0.000 0.000 4.827 0.000 0.000 0.000 4.827" Properties=species:S:1:pos:R:3 pbc="T T T"
Si 0.000 0.000 0.000
Ge 0.000 2.414 2.414
Ge 2.414 0.000 2.414
Ge 2.414 2.414 0.000
Pd 2.414 2.414 2.414
```

The value obtained for the density of states at the Fermi level is 0.3172 states/eV per atom. As for the space-group type: Pm-3m (221).

***

Winner for stability: B

***

--- A ---
The following is a DFT calculation (PBE-GGA) of a relaxed structure of SiGe2Pd2.

Structure (extended XYZ):
```
10
Lattice="7.631 0.000 0.000 0.000 7.631 0.000 0.000 0.000 2.880" Properties=species:S:1:pos:R:3 pbc="T T T"
Si 0.000 0.000 0.000
Si 3.816 3.816 0.000
Ge 1.241 2.575 0.000
Ge 2.575 6.390 0.000
Ge 5.056 1.241 0.000
Ge 6.390 5.056 0.000
Pd 1.016 4.831 1.440
Pd 2.800 1.016 1.440
Pd 4.831 6.615 1.440
Pd 6.615 2.800 1.440
```

The value obtained for the density of states at the Fermi level is 0.5306 states/eV per atom. As for the space-group type: P4/mbm (127).

***

--- B ---
The following is a DFT calculation (PBE-GGA) of a relaxed structure of SiGe2Pd2.

Structure (extended XYZ):
```
10
Lattice="7.526 0.000 0.000 0.000 7.526 0.000 0.000 0.000 2.954" Properties=species:S:1:pos:R:3 pbc="T T T"
Si 0.000 0.000 0.000
Si 3.763 3.763 0.000
Ge 1.188 2.575 1.477
Ge 2.575 6.339 1.477
Ge 4.951 1.188 1.477
Ge 6.339 4.951 1.477
Pd 1.062 4.825 0.000
Pd 2.701 1.062 0.000
Pd 4.825 6.465 0.000
Pd 6.465 2.701 0.000
```

The value obtained for the density of states at the Fermi level is 0.5925 states/eV per atom. As for the space-group type: P4/mbm (127).

***

Winner for stability: B

***

--- A ---
The following is a DFT calculation (PBE-GGA) of a relaxed structure of SiGePd4.

Structure (extended XYZ):
```
12
Lattice="4.583 0.000 0.000 0.000 7.291 0.000 -2.004 0.000 6.333" Properties=species:S:1:pos:R:3 pbc="T T T"
Si -0.620 1.823 2.734
Si 3.200 5.469 3.599
Ge -0.298 1.823 5.767
Ge 2.878 5.469 0.567
Pd -0.187 4.064 2.042
Pd -0.187 6.873 2.042
Pd -1.363 5.469 6.056
Pd 1.660 1.823 1.983
Pd 0.920 5.469 4.350
Pd 3.942 1.823 0.277
Pd 2.767 0.419 4.291
Pd 2.767 3.227 4.291
```

The value obtained for the density of states at the Fermi level is 0.3983 states/eV per atom. As for the space-group type: P2_1/m (11).

***

--- B ---
The following is a DFT calculation (PBE-GGA) of a relaxed structure of SiGePd4.

Structure (extended XYZ):
```
24
Lattice="6.617 0.000 0.000 0.000 3.533 0.000 0.000 0.000 15.380" Properties=species:S:1:pos:R:3 pbc="T T T"
Si 1.640 0.883 0.911
Si 1.669 2.650 8.600
Si 4.948 0.883 6.779
Si 4.977 2.650 14.469
Ge 1.626 2.650 4.752
Ge 1.682 0.883 12.442
Ge 4.934 2.650 2.938
Ge 4.991 0.883 10.628
Pd 0.065 2.650 6.633
Pd 0.438 2.650 10.947
Pd 0.739 2.650 2.374
Pd 0.902 2.650 14.636
Pd 2.406 0.883 6.946
Pd 2.569 0.883 10.064
Pd 2.870 0.883 3.257
Pd 3.243 0.883 14.323
Pd 3.374 2.650 1.057
Pd 3.746 2.650 12.123
Pd 4.047 2.650 5.316
Pd 4.210 2.650 8.434
Pd 5.715 0.883 0.744
Pd 5.878 0.883 13.006
Pd 6.179 0.883 4.433
Pd 6.551 0.883 8.747
```

The value obtained for the density of states at the Fermi level is 0.2291 states/eV per atom. As for the space-group type: Pnma (62).

***

Winner for stability: B

***

--- A ---
The following is a DFT calculation (PBE-GGA) of a relaxed structure of SiGePd3.

Structure (extended XYZ):
```
5
Lattice="4.544 0.000 0.000 0.000 4.544 0.000 0.000 0.000 4.544" Properties=species:S:1:pos:R:3 pbc="T T T"
Si 0.000 0.000 0.000
Ge 2.272 2.272 2.272
Pd 0.000 0.000 2.272
Pd 0.000 2.272 0.000
Pd 2.272 0.000 0.000
```

The value obtained for the density of states at the Fermi level is 0.3634 states/eV per atom. As for the space-group type: Pm-3m (221).

***

--- B ---
The following is a DFT calculation (PBE-GGA) of a relaxed structure of SiGePd3.

Structure (extended XYZ):
```
5
Lattice="4.635 0.000 0.000 0.000 4.635 0.000 0.000 0.000 4.635" Properties=species:S:1:pos:R:3 pbc="T T T"
Si 0.000 0.000 0.000
Ge 2.318 2.318 2.318
Pd 0.000 2.318 2.318
Pd 2.318 0.000 2.318
Pd 2.318 2.318 0.000
```

The value obtained for the density of states at the Fermi level is 0.4818 states/eV per atom. As for the space-group type: Pm-3m (221).

***

Winner for stability: A

***

--- A ---
The following is a DFT calculation (PBE-GGA) of a relaxed structure of SmGePd3.

Structure (extended XYZ):
```
20
Lattice="6.224 0.000 0.000 -3.112 5.390 0.000 0.000 0.000 11.832" Properties=species:S:1:pos:R:3 pbc="T T T"
Sm 0.000 0.000 0.000
Sm 0.000 0.000 5.916
Sm 0.000 3.594 2.958
Sm 3.112 1.797 8.874
Ge 0.000 3.594 7.552
Ge 0.000 3.594 10.196
Ge 3.112 1.797 1.636
Ge 3.112 1.797 4.280
Pd -1.556 2.695 0.000
Pd -1.556 2.695 5.916
Pd 0.000 1.520 8.874
Pd -1.796 4.630 8.874
Pd 1.316 0.760 2.958
Pd 3.112 0.000 0.000
Pd 3.112 0.000 5.916
Pd 1.556 2.695 0.000
Pd 1.556 2.695 5.916
Pd 1.796 4.630 8.874
Pd 4.908 0.760 2.958
Pd 3.112 3.870 2.958
```

The value obtained for the density of states at the Fermi level is 0.1924 states/eV per atom. As for the space-group type: P6_3/mmc (194).

***

--- B ---
The following is a DFT calculation (PBE-GGA) of a relaxed structure of SmGePd3.

Structure (extended XYZ):
```
10
Lattice="-2.624 2.624 8.129 2.624 -2.624 8.129 2.624 2.624 -8.129" Properties=species:S:1:pos:R:3 pbc="T T T"
Sm 0.000 0.000 2.277
Sm 0.000 0.000 13.981
Ge 2.624 0.000 4.065
Ge 0.000 0.000 8.129
Pd 1.336 2.624 -2.066
Pd 1.288 0.000 6.063
Pd 2.624 1.336 2.066
Pd 0.000 2.624 0.557
Pd 0.000 1.288 10.195
Pd 0.000 2.624 7.572
```

The value obtained for the density of states at the Fermi level is 0.4151 states/eV per atom. As for the space-group type: I-4m2 (119).

***

Winner for stability: A